[1]
Computed, not measured: CsCuAu after structural relaxation at the PBE level of DFT.

Computed properties:
VASP energy in eV/atom: -2.144
Energy above the most stable polymorph in this dataset in meV per atom: 0

```
CsCuAu
1.0
0.000 3.624 3.624
3.624 0.000 3.624
3.624 3.624 0.000
Au Cs Cu
1 1 1
direct
0.250 0.250 0.250
0.750 0.750 0.750
0.000 0.000 0.000
```

[2]
Computed, not measured: Cs2CuAuF6 after structural relaxation at the PBE level of DFT.

Computed properties:
VASP energy in eV/atom: -3.861

```
Cs2CuAuF6
1.0
6.057 -1.547 0.572
-0.467 -2.362 5.798
-3.611 -1.838 -4.795
Au Cs Cu F
1 2 1 6
direct
0.000 0.000 0.000
0.750 0.250 0.500
0.250 0.750 0.500
0.500 0.500 0.000
0.750 0.250 0.000
0.297 0.297 0.000
0.703 0.703 0.000
0.250 0.750 0.000
0.750 0.750 0.500
0.250 0.250 0.500
```

[3]
Computed, not measured: Cs2CuH6Au after structural relaxation at the PBE level of DFT.

Computed properties:
VASP energy in eV/atom: -2.997

```
Cs2CuH6Au
1.0
-3.017 3.017 4.709
3.017 -3.017 4.709
3.017 3.017 -4.709
Au Cs Cu H
1 2 1 6
direct
0.000 0.000 0.000
0.750 0.250 0.500
0.250 0.750 0.500
0.500 0.500 0.000
0.804 0.196 0.000
0.334 0.334 0.000
0.666 0.666 0.000
0.196 0.804 0.000
0.196 0.196 0.392
0.804 0.804 0.608
```

Number 2 is which compound?
Cs2CuAuF6